(1)
First-principles (PBE) data for a relaxed structure of Ca2CrSeN, as listed in the Alexandria database.

Computed properties:
Raw formation energy in eV per atom: 0.489

a = 5.4383 Å, b = 5.4383 Å, c = 4.6470 Å
α = 90.00°, β = 90.00°, γ = 90.00°
Space group P4/mmm (No. 123)
Inequivalent atoms, fractional coordinates:
Ca 0.0000 0.5000 0.0000 x2
Cr 0.0000 0.0000 0.5000 x1
Se 0.0000 0.0000 0.0000 x1
N 0.5000 0.5000 0.5000 x1


(2)
First-principles (PBE) data for a relaxed structure of CdSiRh2, as listed in the Alexandria database.

Computed properties:
Raw formation energy in eV per atom: 0.092

a = 6.2646 Å, b = 6.2646 Å, c = 6.2646 Å
α = 90.00°, β = 90.00°, γ = 90.00°
Space group F-43m (No. 216)
Inequivalent atoms, fractional coordinates:
Cd 0.0000 0.0000 0.0000 x4
Si 0.2500 0.2500 0.2500 x4
Rh 0.0000 0.0000 0.5000 x4
Rh 0.2500 0.2500 0.7500 x4


(3)
First-principles (PBE) data for a relaxed structure of LaTe2Mo, as listed in the Alexandria database.

Computed properties:
Raw formation energy in eV per atom: -0.268
Energy relative to the lowest polymorph listed for this composition in eV per atom: 0.244

a = 3.8862 Å, b = 3.8862 Å, c = 6.8933 Å
α = 90.00°, β = 90.00°, γ = 90.00°
Space group P4mm (No. 99)
Inequivalent atoms, fractional coordinates:
La 0.0000 0.0000 0.0000 x1
Te 0.0000 0.0000 0.4680 x1
Te 0.5000 0.5000 0.7788 x1
Mo 0.5000 0.5000 0.3288 x1


(4)
First-principles (PBE) data for a relaxed structure of Ba2CaLaRh, as listed in the Alexandria database.

Computed properties:
Calculated formation energy in kcal/mol of atoms: -3.68

a = 6.3381 Å, b = 6.3381 Å, c = 5.4764 Å
α = 90.00°, β = 90.00°, γ = 90.00°
Space group P4/mmm (No. 123)
Inequivalent atoms, fractional coordinates:
Ba 0.0000 0.5000 0.0000 x2
Ca 0.0000 0.0000 0.5000 x1
La 0.5000 0.5000 0.5000 x1
Rh 0.5000 0.5000 0.0000 x1


(5)
First-principles (PBE) data for a relaxed structure of LiPWS2, as listed in the Alexandria database.

Computed properties:
Raw formation energy in eV per atom: -0.084
Energy relative to the lowest polymorph listed for this composition in eV per atom: 0.000

a = 4.7357 Å, b = 4.7357 Å, c = 4.7361 Å
α = 90.00°, β = 90.00°, γ = 90.00°
Space group P4/mmm (No. 123)
Inequivalent atoms, fractional coordinates:
Li 0.0000 0.0000 0.0000 x1
P 0.5000 0.5000 0.0000 x1
W 0.5000 0.5000 0.5000 x1
S 0.0000 0.5000 0.5000 x2


(6)
First-principles (PBE) data for a relaxed structure of In2Pt7Rh, as listed in the Alexandria database.

Computed properties:
Calculated formation energy in kcal/mol of atoms: 4.16

a = 7.2894 Å, b = 14.9607 Å, c = 3.7563 Å
α = 90.00°, β = 90.00°, γ = 90.00°
Space group Cmmm (No. 65)
Inequivalent atoms, fractional coordinates:
In 0.0000 0.1892 0.0000 x4
Pt 0.0000 0.0000 0.0000 x2
Pt 0.0000 0.3180 0.5000 x4
Pt 0.1883 0.4077 0.0000 x8
Rh 0.0000 0.5000 0.5000 x2


Question: What is the formula in the second record?
Answer: CdSiRh2